CuAs2Cl | PBE | relaxed

The density of states at the Fermi level is 0.479 states/eV per atom. Its space group is P4/mmm, No. 123. As for the energy above the most stable polymorph in this dataset: 375 meV per atom.

Geometry as CIF:
```
data_CuAs2Cl
_chemical_formula_sum 'Cu1 As2 Cl1'
_space_group_name_H-M_alt 'P 1'
_space_group_IT_number 1
_space_group_name_Hall 'P 1'
_cell_length_a 3.0749
_cell_length_b 3.0749
_cell_length_c 7.5666
_cell_angle_alpha 90.00
_cell_angle_beta 90.00
_cell_angle_gamma 90.00
loop_
_atom_site_label
_atom_site_type_symbol
_atom_site_fract_x
_atom_site_fract_y
_atom_site_fract_z
Cu1 Cu 0.0000 0.0000 0.0000
As1 As 0.5000 0.5000 0.2082
As2 As 0.5000 0.5000 0.7918
Cl1 Cl 0.0000 0.0000 0.5000
```

Pr6Ho2In3 | PBE | relaxed

The density of states at the Fermi level is 0.702 states/eV per atom. Its space group is I4/mmm, No. 139. The energy relative to the elements is 17.26 kJ/mol of atoms.

Geometry as CIF:
```
data_Pr6Ho2In3
_chemical_formula_sum 'Pr6 Ho2 In3'
_space_group_name_H-M_alt 'P 1'
_space_group_IT_number 1
_space_group_name_Hall 'P 1'
_cell_length_a 12.9383
_cell_length_b 12.9383
_cell_length_c 12.9383
_cell_angle_alpha 155.29
_cell_angle_beta 155.29
_cell_angle_gamma 35.23
loop_
_atom_site_label
_atom_site_type_symbol
_atom_site_fract_x
_atom_site_fract_y
_atom_site_fract_z
Pr1 Pr 0.0979 0.5979 0.5000
Pr2 Pr 0.1985 0.1985 0.0000
Pr3 Pr 0.4021 0.9021 0.5000
Pr4 Pr 0.5979 0.0979 0.5000
Pr5 Pr 0.8015 0.8015 0.0000
Pr6 Pr 0.9021 0.4021 0.5000
Ho1 Ho 0.0581 0.0581 0.0000
Ho2 Ho 0.9419 0.9419 0.0000
In1 In 0.3275 0.3275 0.0000
In2 In 0.5000 0.5000 0.0000
In3 In 0.6725 0.6725 0.0000
```

> What is the formula in the first record?

CuAs2Cl